# AlRuSe

AlRuSe after structural relaxation (PBE, Alexandria via LeMat-Bulk).

The structure belongs to space group F-43m (No. 216); the cell edges are 5.9726, 5.9726 and 5.9726 Å and the angles 90.00°, 90.00° and 90.00°. Symmetry generates all atoms from Al at (0.0000, 0.0000, 0.0000), Ru at (0.2500, 0.2500, 0.2500) and Se at (0.2500, 0.2500, 0.7500).

The density of states at the Fermi level comes out at 0.9450 states/eV/atom. The calculation puts the total magnetization at 0.2 μB/f.u. The calculation puts the energy relative to the lowest polymorph listed for this composition at 0.443 eV per atom.

=====

# LiTbMg2

LiTbMg2 after structural relaxation (PBE, Alexandria via LeMat-Bulk).

The structure belongs to space group R3m (No. 160, hexagonal axes); the cell edges are 3.2853, 3.2853 and 32.3862 Å and the angles 90.00°, 90.00° and 120.00°. Symmetry generates all atoms from Li at (0.0000, 0.0000, 0.0000), Tb at (0.0000, 0.0000, 0.8326), Mg at (0.0000, 0.0000, 0.4104) and Mg at (0.0000, 0.0000, 0.5886).

Its formation energy is 0.04 eV per atom. The density of states at the Fermi level comes out at 0.6251 states/eV/atom. The calculation puts the total magnetization at 0.0 μB/f.u. The calculation puts the energy relative to the lowest polymorph listed for this composition at 0.081 eV per atom.

=====

# ScAsS3

ScAsS3 after structural relaxation (PBE, Alexandria via LeMat-Bulk).

The structure belongs to space group Pm-3m (No. 221); the cell edges are 4.6945, 4.6945 and 4.6945 Å and the angles 90.00°, 90.00° and 90.00°. Symmetry generates all atoms from Sc at (0.0000, 0.0000, 0.0000), As at (0.5000, 0.5000, 0.5000) and S at (0.0000, 0.5000, 0.5000).

The density of states at the Fermi level comes out at 0.1361 states/eV/atom. The calculation puts the total magnetization at 0.0 μB/f.u. The calculation puts the energy relative to the lowest polymorph listed for this composition at 0.806 eV per atom.

=====

# Y3As2O2

Y3As2O2 after structural relaxation (PBE, Alexandria via LeMat-Bulk).

The structure belongs to space group C2/m (No. 12); the cell edges are 12.0670, 3.8936 and 6.8662 Å and the angles 90.00°, 111.37° and 90.00°. Symmetry generates all atoms from Y at (0.0000, 0.0000, 0.0000), Y at (0.1878, 0.5000, 0.7696), As at (0.1204, 0.5000, 0.3147) and O at (0.1596, 0.0000, 0.9028).

The density of states at the Fermi level comes out at 0.3196 states/eV/atom. The calculation puts the total magnetization at 0.0 μB/f.u. For the total DFT energy (no corrections), the calculation gives -7.75 eV/atom.

=====

# TbPrTm3Th

TbPrTm3Th after structural relaxation (PBE, Alexandria via LeMat-Bulk).

The structure belongs to space group P2_1/m (No. 11); the cell edges are 10.6144, 3.5605 and 10.6550 Å and the angles 90.00°, 109.04° and 90.00°. Symmetry generates all atoms from Tb at (0.1271, 0.2500, 0.1311), Pr at (0.2087, 0.7500, 0.8727), Tm at (0.0440, 0.7500, 0.3777), Tm at (0.2942, 0.2500, 0.6191), Tm at (0.4597, 0.2500, 0.1299) and Th at (0.3771, 0.7500, 0.3754).

Its formation energy is 0.02 eV per atom. The density of states at the Fermi level comes out at 1.3491 states/eV/atom. The calculation puts the total magnetization at 0.0 μB/f.u.

=====

# CsV3As

CsV3As after structural relaxation (PBE, Alexandria via LeMat-Bulk).

The structure belongs to space group Pm-3m (No. 221); the cell edges are 5.1122, 5.1122 and 5.1122 Å and the angles 90.00°, 90.00° and 90.00°. Symmetry generates all atoms from Cs at (0.0000, 0.0000, 0.0000), V at (0.0000, 0.5000, 0.5000) and As at (0.5000, 0.5000, 0.5000).

Its formation energy is 1.04 eV per atom. The density of states at the Fermi level comes out at 0.8037 states/eV/atom. The calculation puts the total magnetization at 11.6 μB/f.u. The calculation puts the energy relative to the lowest polymorph listed for this composition at 0.000 eV per atom.

=====

# Cu2Pt7

Cu2Pt7 after structural relaxation (PBE, Alexandria via LeMat-Bulk).

The structure belongs to space group P-31m (No. 162); the cell edges are 4.7800, 4.7800 and 6.8231 Å and the angles 90.00°, 90.00° and 120.00°. Symmetry generates all atoms from Cu at (0.3333, 0.6667, 0.0000), Pt at (0.0000, 0.0000, 0.0000) and Pt at (0.0000, 0.3343, 0.6756).

Its formation energy is -0.10 eV per atom. The density of states at the Fermi level comes out at 1.2309 states/eV/atom. The calculation puts the total magnetization at 0.0 μB/f.u.

=====

# Sn2GePb2

Sn2GePb2 after structural relaxation (PBE, Alexandria via LeMat-Bulk).

The structure belongs to space group I4/mmm (No. 139); the cell edges are 4.1104, 4.1104 and 17.7984 Å and the angles 90.00°, 90.00° and 90.00°. Symmetry generates all atoms from Sn at (0.0000, 0.5000, 0.2500), Ge at (0.0000, 0.0000, 0.0000) and Pb at (0.0000, 0.0000, 0.4086).

Its formation energy is 0.26 eV per atom. The density of states at the Fermi level comes out at 0.7290 states/eV/atom. The calculation puts the total magnetization at 0.0 μB/f.u. The calculation puts the energy relative to the lowest polymorph listed for this composition at 0.088 eV per atom.